Entry A
Entry from Alexandria: La2CoAgHg after structural relaxation (GGA-PBE).

Crystal system   tetragonal
Magnetic moment   0.00 Bohr magnetons per cell
Space group   P4/mmm (123)
N(E_F)   2.80 states/eV per cell

a = 5.1482 Å, b = 5.1482 Å, c = 5.0535 Å
α = 90.00°, β = 90.00°, γ = 90.00°
With the nearest neighbours (Å) after each atom.
Fractional coordinates of all 5 atoms:
Co 0.0000 0.0000 0.0000  2 Ag 2.53, 4 La 2.57
Hg 0.5000 0.5000 0.5000  8 La 3.61, 4 Ag 3.64
Ag 0.0000 0.0000 0.5000  2 Co 2.53
La 0.0000 0.5000 0.0000  2 Co 2.57
La 0.5000 0.0000 0.0000  2 Co 2.57

=====

Entry B
Entry from Alexandria: La2CoAgHg after structural relaxation (GGA-PBE).

Crystal system   tetragonal
Magnetic moment   0.00 Bohr magnetons per cell
Space group   P4/mmm (123)
N(E_F)   3.72 states/eV per cell

a = 5.2042 Å, b = 5.2042 Å, c = 5.0242 Å
α = 90.00°, β = 90.00°, γ = 90.00°
With the nearest neighbours (Å) after each atom.
Fractional coordinates of all 5 atoms:
Co 0.0000 0.0000 0.0000  2 Hg 2.51, 4 La 2.60
Hg 0.0000 0.0000 0.5000  2 Co 2.51
Ag 0.5000 0.5000 0.5000  8 La 3.62, 4 Hg 3.68
La 0.0000 0.5000 0.0000  2 Co 2.60
La 0.5000 0.0000 0.0000  2 Co 2.60

=====

Which of them is the least stable? Correct choice: entry A.

=====

Entry A
Entry from Alexandria: Na2US3 after structural relaxation (GGA-PBE).

Crystal system   monoclinic
Magnetic moment   4.00 Bohr magnetons per cell
Space group   C2/m (12)
N(E_F)   11.02 states/eV per cell

a = 6.9826 Å, b = 6.9826 Å, c = 7.0249 Å
α = 80.36°, β = 80.36°, γ = 119.97°
With the nearest neighbours (Å) after each atom.
Fractional coordinates of all 12 atoms:
Na 0.0000 0.0000 0.0000  6 S 2.90-2.91
Na 0.5000 0.5000 0.5000  6 S 2.83-3.01
Na 0.8398 0.1602 0.5000  6 S 2.87-3.03
Na 0.1602 0.8398 0.5000  6 S 2.87-3.03
U 0.6671 0.3329 0.0000  6 S 2.70-2.72
U 0.3329 0.6671 0.0000  6 S 2.70-2.72
S 0.2787 0.2787 0.2288  2 U 2.72, 4 Na 2.83-2.95
S 0.4323 0.0763 0.7735  2 U 2.70-2.71, 3 Na 2.87-3.01
S 0.0763 0.4323 0.7735  2 U 2.70-2.71, 3 Na 2.87-3.01
S 0.7213 0.7213 0.7712  2 U 2.72, 4 Na 2.83-2.95
S 0.5677 0.9237 0.2265  2 U 2.70-2.71, 3 Na 2.87-3.01
S 0.9237 0.5677 0.2265  2 U 2.70-2.71, 3 Na 2.87-3.01

=====

Entry B
Entry from Alexandria: Na2US3 after structural relaxation (GGA-PBE).

Crystal system   monoclinic
Magnetic moment   4.00 Bohr magnetons per cell
Space group   C2/c (15)
N(E_F)   8.91 states/eV per cell

a = 6.9201 Å, b = 6.9631 Å, c = 6.9631 Å
α = 118.49°, β = 100.58°, γ = 100.58°
With the nearest neighbours (Å) after each atom.
Fractional coordinates of all 12 atoms:
Na 0.2500 0.9176 0.0824  6 S 2.81-3.11
Na 0.2500 0.2446 0.7554  6 S 2.89-2.94
Na 0.7500 0.0824 0.9176  6 S 2.81-3.11
Na 0.7500 0.7554 0.2446  6 S 2.89-2.94
U 0.2500 0.5889 0.4111  6 S 2.69-2.77
U 0.7500 0.4111 0.5889  6 S 2.69-2.77
S 0.9945 0.2077 0.3543  2 U 2.69-2.71, 3 Na 2.81-2.94
S 0.4945 0.3543 0.2077  2 U 2.69-2.71, 3 Na 2.81-2.94
S 0.0000 0.5000 0.0000  2 U 2.77, 4 Na 2.82-2.89
S 0.0055 0.7923 0.6457  2 U 2.69-2.71, 3 Na 2.81-2.94
S 0.5000 0.0000 0.5000  2 U 2.77, 4 Na 2.82-2.89
S 0.5055 0.6457 0.7923  2 U 2.69-2.71, 3 Na 2.81-2.94

=====

Which of them is the least stable? Correct choice: entry B.

=====

Entry A
Entry from Alexandria: MoSeCl2 after structural relaxation (GGA-PBE).

Crystal system   tetragonal
Magnetic moment   0.48 Bohr magnetons per cell
Space group   P4mm (99)
N(E_F)   2.78 states/eV per cell

a = 3.0337 Å, b = 3.0337 Å, c = 8.9793 Å
α = 90.00°, β = 90.00°, γ = 90.00°
With the nearest neighbours (Å) after each atom.
Fractional coordinates of all 4 atoms:
Mo 0.0000 0.0000 0.5027  4 Se 2.65, 4 Cl 2.65
Se 0.5000 0.5000 0.6754  4 Mo 2.65
Cl 0.0000 0.0000 0.9929  4 Cl 3.03
Cl 0.5000 0.5000 0.3291  4 Mo 2.65

=====

Entry B
Entry from Alexandria: MoSeCl2 after structural relaxation (GGA-PBE).

Crystal system   cubic
Magnetic moment   1.99 Bohr magnetons per cell
Space group   F-43m (216)
N(E_F)   0.84 states/eV per cell

a = 4.6941 Å, b = 4.6941 Å, c = 4.6945 Å
α = 120.03°, β = 120.03°, γ = 89.96°
With the nearest neighbours (Å) after each atom.
Fractional coordinates of all 4 atoms:
Mo 0.5000 0.5000 0.0000  4 Cl 2.87, 4 Se 2.87
Se 0.7499 0.2501 0.5000  4 Cl 2.87-2.88, 4 Mo 2.87
Cl 0.0001 0.9999 0.0000  4 Se 2.87-2.88, 4 Cl 2.87
Cl 0.2500 0.7500 0.5000  4 Mo 2.87, 4 Cl 2.87

=====

Which of them is the least stable? Correct choice: entry B.

=====

Entry A
Entry from Alexandria: B2C3 after structural relaxation (GGA-PBE).

Crystal system   trigonal
Magnetic moment   0.00 Bohr magnetons per cell
Space group   R3m (160)
N(E_F)   2.51 states/eV per cell

a = 11.1370 Å, b = 11.1370 Å, c = 11.1370 Å
α = 13.49°, β = 13.49°, γ = 13.49°
With the nearest neighbours (Å) after each atom.
Fractional coordinates of all 10 atoms:
B 0.2016 0.2016 0.2016  4 C 1.61-1.64
B 0.4000 0.4000 0.4000  4 C 1.57-1.66
B 0.6018 0.6018 0.6018  4 C 1.63-1.65
B 0.8017 0.8017 0.8017  4 C 1.57-1.66
C 0.8492 0.8492 0.8492  4 B 1.57-1.64
C 0.0459 0.0459 0.0459  1 C 1.51, 3 B 1.66
C 0.2502 0.2502 0.2502  4 B 1.61-1.63
C 0.4476 0.4476 0.4476  4 B 1.57-1.66
C 0.0003 0.0003 0.0003  4 C 1.51-1.59
C 0.6516 0.6516 0.6516  3 C 1.59, 1 B 1.65

=====

Entry B
Entry from Alexandria: B2C3 after structural relaxation (GGA-PBE).

Crystal system   monoclinic
Magnetic moment   0.00 Bohr magnetons per cell
Space group   C2/m (12)
N(E_F)   0.40 states/eV per cell

a = 4.4994 Å, b = 4.4994 Å, c = 6.4842 Å
α = 69.05°, β = 69.05°, γ = 32.06°
With the nearest neighbours (Å) after each atom.
Fractional coordinates of all 10 atoms:
B 0.2676 0.2676 0.6982  2 C 1.62-1.67, 2 B 1.79
B 0.1225 0.1225 0.4998  1 C 1.54
B 0.8775 0.8775 0.5002  1 C 1.54
B 0.7324 0.7324 0.3018  2 C 1.62-1.67, 2 B 1.79
C 0.0627 0.0627 0.7554  2 C 1.52, 2 B 1.54-1.67
C 0.9373 0.9373 0.2446  2 C 1.52, 2 B 1.54-1.67
C 0.7083 0.7083 0.0663  3 C 1.53-1.58, 1 B 1.62
C 0.5156 0.5156 0.1127  4 C 1.52-1.58
C 0.4844 0.4844 0.8873  4 C 1.52-1.58
C 0.2917 0.2917 0.9337  3 C 1.53-1.58, 1 B 1.62

=====

Which of them is the least stable? Correct choice: entry A.

=====

Entry A
Entry from Alexandria: TiMnPOsS after structural relaxation (GGA-PBE).

Crystal system   monoclinic
Magnetic moment   0.00 Bohr magnetons per cell
Space group   Cm (8)
N(E_F)   3.99 states/eV per cell

a = 5.9982 Å, b = 2.9066 Å, c = 9.6154 Å
α = 90.00°, β = 121.25°, γ = 90.00°
With the nearest neighbours (Å) after each atom.
Fractional coordinates of all 10 atoms:
Ti 0.2668 0.0000 0.3191  1 S 2.44, 2 P 2.66
Ti 0.2668 0.5000 0.8191  1 S 2.44, 2 P 2.66
Mn 0.8688 0.0000 0.8175  2 S 2.17, 2 P 2.39
Mn 0.8688 0.5000 0.3175  2 S 2.17, 2 P 2.39
P 0.0421 0.0000 0.5484  2 Os 2.35, 2 Mn 2.39
P 0.0421 0.5000 0.0484  2 Os 2.35, 2 Mn 2.39
Os 0.7398 0.0000 0.0540  1 S 2.28, 2 P 2.35
Os 0.7398 0.5000 0.5540  1 S 2.28, 2 P 2.35
S 0.5557 0.0000 0.2107  2 Mn 2.17, 1 Os 2.28
S 0.5557 0.5000 0.7107  2 Mn 2.17, 1 Os 2.28

=====

Entry B
Entry from Alexandria: TiMnPOsS after structural relaxation (GGA-PBE).

Crystal system   monoclinic
Magnetic moment   4.82 Bohr magnetons per cell
Space group   Cm (8)
N(E_F)   8.09 states/eV per cell

a = 5.3758 Å, b = 3.6066 Å, c = 7.5745 Å
α = 90.00°, β = 92.85°, γ = 90.00°
With the nearest neighbours (Å) after each atom.
Fractional coordinates of all 10 atoms:
Ti 0.7878 0.0000 0.8747  3 S 2.31-2.38
Ti 0.7878 0.5000 0.3747  3 S 2.31-2.38
Mn 0.4438 0.0000 0.5465  1 S 2.22, 2 P 2.40
Mn 0.4438 0.5000 0.0465  1 S 2.22, 2 P 2.40
P 0.3040 0.0000 0.8576  3 Mn 2.40-2.51, 3 Os 2.45-2.53, 1 Ti 2.60
P 0.3040 0.5000 0.3576  3 Mn 2.40-2.51, 3 Os 2.45-2.53, 1 Ti 2.60
Os 0.1410 0.0000 0.1654  2 S 2.44, 3 P 2.45-2.53, 2 Mn 2.62
Os 0.1410 0.5000 0.6654  2 S 2.44, 3 P 2.45-2.53, 2 Mn 2.62
S 0.8573 0.0000 0.5758  1 Mn 2.22, 3 Ti 2.31-2.38, 2 Os 2.44
S 0.8573 0.5000 0.0758  1 Mn 2.22, 3 Ti 2.31-2.38, 2 Os 2.44

=====

Which of them is the least stable? Correct choice: entry A.

=====

Entry A
Entry from Alexandria: Sr2ZrBr after structural relaxation (GGA-PBE).

Crystal system   cubic
Magnetic moment   4.02 Bohr magnetons per cell
Space group   Fm-3m (225)
N(E_F)   5.08 states/eV per cell

a = 5.9409 Å, b = 5.9409 Å, c = 5.9409 Å
α = 60.00°, β = 60.00°, γ = 60.00°
With the nearest neighbours (Å) after each atom.
Fractional coordinates of all 4 atoms:
Sr 0.2500 0.2500 0.2500  4 Zr 3.64, 4 Br 3.64
Sr 0.7500 0.7500 0.7500  4 Br 3.64, 4 Zr 3.64
Br 0.0000 0.0000 0.0000  8 Sr 3.64
Zr 0.5000 0.5000 0.5000  8 Sr 3.64

=====

Entry B
Entry from Alexandria: Sr2ZrBr after structural relaxation (GGA-PBE).

Crystal system   orthorhombic
Magnetic moment   1.71 Bohr magnetons per cell
Space group   Cmmm (65)
N(E_F)   4.96 states/eV per cell

a = 6.1790 Å, b = 6.1790 Å, c = 3.6280 Å
α = 90.00°, β = 90.00°, γ = 90.49°
With the nearest neighbours (Å) after each atom.
Fractional coordinates of all 4 atoms:
Sr 0.0000 0.0000 0.0000  4 Br 3.58, 4 Zr 3.58, 2 Sr 3.63
Sr 0.5000 0.5000 0.0000  4 Zr 3.58, 4 Br 3.58, 2 Sr 3.63
Br 0.0000 0.5000 0.5000  8 Sr 3.58, 2 Br 3.63
Zr 0.5000 0.0000 0.5000  8 Sr 3.58, 2 Zr 3.63

=====

Which of them is the least stable? Correct choice: entry A.

=====

Entry A
Entry from Alexandria: BaAgMo after structural relaxation (GGA-PBE).

Crystal system   orthorhombic
Magnetic moment   0.00 Bohr magnetons per cell
Space group   Imm2 (44)
N(E_F)   4.16 states/eV per cell

a = 6.5200 Å, b = 6.5200 Å, c = 6.5200 Å
α = 152.61°, β = 142.88°, γ = 46.74°
With the nearest neighbours (Å) after each atom.
Fractional coordinates of all 3 atoms:
Ag 0.9592 0.9592 0.0000  4 Mo 2.77, 2 Ag 3.09
Ba 0.6649 0.6649 0.0000  2 Ba 3.09
Mo 0.3759 0.3759 0.0000  4 Ag 2.77, 2 Mo 3.09

=====

Entry B
Entry from Alexandria: BaAgMo after structural relaxation (GGA-PBE).

Crystal system   cubic
Magnetic moment   4.93 Bohr magnetons per cell
Space group   F-43m (216)
N(E_F)   1.39 states/eV per cell

a = 5.4509 Å, b = 5.4509 Å, c = 5.4509 Å
α = 60.00°, β = 60.00°, γ = 60.00°
With the nearest neighbours (Å) after each atom.
Fractional coordinates of all 3 atoms:
Ag 0.5000 0.5000 0.5000  4 Ba 3.34
Ba 0.7500 0.7500 0.7500  4 Ag 3.34, 4 Mo 3.34
Mo 0.0000 0.0000 0.0000  4 Ba 3.34

=====

Which of them is the least stable? Correct choice: entry B.

=====

Entry A
Entry from Alexandria: B2C after structural relaxation (GGA-PBE).

Crystal system   monoclinic
Magnetic moment   0.00 Bohr magnetons per cell
Space group   Pm (6)
N(E_F)   2.65 states/eV per cell

a = 2.7574 Å, b = 4.6353 Å, c = 6.7752 Å
α = 88.68°, β = 90.00°, γ = 90.00°
With the nearest neighbours (Å) after each atom.
Fractional coordinates of all 12 atoms:
B 0.5000 0.8122 0.3346  1 C 1.56
B 0.5000 0.4367 0.2478  2 C 1.62
B 0.5000 0.5455 0.9834  2 C 1.57
B 0.5000 0.1592 0.0606  6 B 1.71-1.85
B 0.0000 0.6729 0.6557  4 C 1.67-1.70
B 0.0000 0.0570 0.2257  1 C 1.64, 3 B 1.74-1.83
B 0.0000 0.9817 0.9756  1 C 1.54, 2 B 1.71
B 0.5000 0.1584 0.6087  3 C 1.56-1.61
C 0.0000 0.3325 0.5785  1 C 1.49, 2 B 1.61
C 0.0000 0.3472 0.3586  1 C 1.49, 3 B 1.62-1.64
C 0.0000 0.6668 0.9061  4 B 1.54-1.70
C 0.5000 0.8299 0.5648  4 B 1.56-1.67

=====

Entry B
Entry from Alexandria: B2C after structural relaxation (GGA-PBE).

Crystal system   monoclinic
Magnetic moment   0.00 Bohr magnetons per cell
Space group   Cm (8)
N(E_F)   1.40 states/eV per cell

a = 7.3459 Å, b = 7.3459 Å, c = 4.9444 Å
α = 72.56°, β = 72.56°, γ = 19.89°
With the nearest neighbours (Å) after each atom.
Fractional coordinates of all 12 atoms:
B 0.3456 0.3456 0.3075  1 C 1.62, 2 B 1.78
B 0.2860 0.2860 0.0209  4 B 1.68-1.87
B 0.1645 0.1645 0.1020  1 C 1.68, 3 B 1.68-1.86
B 0.9994 0.9994 0.0321  3 C 1.63-1.70, 1 B 1.80
B 0.9746 0.9746 0.6958  2 C 1.57, 1 B 1.75
B 0.8687 0.8687 0.9840  3 B 1.72-1.75
B 0.7651 0.7651 0.4918  1 C 1.54
B 0.6132 0.6132 0.3828  2 C 1.60-1.66
C 0.1179 0.1179 0.8301  2 C 1.53, 2 B 1.68-1.70
C 0.6561 0.6561 0.6578  2 C 1.53, 2 B 1.54-1.66
C 0.4970 0.4970 0.5001  1 C 1.50, 3 B 1.57-1.60
C 0.4619 0.4619 0.2450  1 C 1.50, 3 B 1.62-1.63

=====

Entry C
Entry from Alexandria: B2C after structural relaxation (GGA-PBE).

Crystal system   orthorhombic
Magnetic moment   0.00 Bohr magnetons per cell
Space group   Imma (74)
N(E_F)   0.52 states/eV per cell

a = 4.4453 Å, b = 4.4453 Å, c = 4.4453 Å
α = 148.10°, β = 117.34°, γ = 72.05°
With the nearest neighbours (Å) after each atom.
Fractional coordinates of all 6 atoms:
B 0.0055 0.8936 0.1118  1 C 1.63, 2 B 1.77
B 0.9945 0.1064 0.8882  1 C 1.63, 2 B 1.77
B 0.2818 0.3936 0.8882  1 C 1.63, 2 B 1.77
B 0.7182 0.6064 0.1118  1 C 1.63, 2 B 1.77
C 0.4107 0.2500 0.1607  2 C 1.47, 2 B 1.63
C 0.5893 0.7500 0.8393  2 C 1.47, 2 B 1.63

=====

Which of them is the least stable? Correct choice: entry B.